A plane-wave DFT calculation with PBE was carried out for a relaxed structure of Na3Hf3TiSe8.

ΔE_f (raw) = -19.1 eV per formula unit
calculated total energy = -5.91 eV per atom
crystal system = trigonal
SG = R-3m, No. 166

a = 7.537 Å, b = 7.538 Å, c = 8.459 Å
α = 116.47°, β = 90.00°, γ = 120.00°
Element x y z (fractional)
Na1 0.000 0.000 0.000
Na2 0.000 0.500 0.000
Na3 0.500 0.500 0.000
Hf1 0.500 0.000 0.500
Hf2 0.500 0.500 0.500
Hf3 0.000 0.500 0.500
Ti1 0.000 0.000 0.500
Se1 0.259 0.517 0.277
Se2 0.741 0.483 0.723
Se3 0.763 0.525 0.283
Se4 0.237 0.475 0.717
Se5 0.762 0.020 0.284
Se6 0.238 0.980 0.716
Se7 0.258 0.020 0.284
Se8 0.742 0.980 0.716